Entry from Alexandria: crystalline Zr2CdAg at its relaxed geometry (GGA-PBEsol).

Cell and atoms, written as POSCAR:
```
Zr2CdAg
1.0
3.028 0.000 0.019
0.000 4.366 0.000
-0.039 0.000 5.958
Zr Cd Ag
2 1 1
Cartesian
-0.029 0.000 4.493 Zr
3.017 0.000 1.484 Zr
1.494 2.183 2.989 Cd
1.514 2.183 0.010 Ag
```

Values from the calculation:
Calculated density   8.49 g/cm³
SG   Pmmm
DFT formation energy   -96 meV/atom
Spin magnetization   0.00 μB per cell


Entry from Alexandria: crystalline RbCoMoBr2 at its relaxed geometry (GGA-PBEsol).

Cell and atoms, written as POSCAR:
```
RbCoMoBr2
1.0
4.535 0.000 0.000
0.000 5.194 0.000
0.000 0.000 5.194
Rb Br Co Mo
1 2 1 1
Cartesian
2.268 2.597 2.597 Rb
0.000 0.000 2.597 Br
0.000 2.597 0.000 Br
0.000 0.000 0.000 Co
2.268 0.000 0.000 Mo
```

Values from the calculation:
Calculated density   5.43 g/cm³
ΔE_f (raw)   0.43 eV/atom
SG   P4/mmm
Spin magnetization   3.38 μB per cell


no.,E (eV per cell)
1,-23.07
2,-22.12